The following is a PBE-GGA calculation of a relaxed BaS2IBr crystal, from the Alexandria database.

a = 5.0365 Å, b = 5.0365 Å, c = 6.5988 Å
α = 90.00°, β = 90.00°, γ = 90.00°
Space group P4/mmm (No. 123)
One atom of each set of equivalent atoms:
Ba 0.0000 0.0000 0.0000
S 0.0000 0.5000 0.5000
I 0.5000 0.5000 0.0000
Br 0.0000 0.0000 0.5000

Computed properties:
N(E_F) in states/eV per atom: 0.7596
Electronic total energy in eV per atom: -2.9945


The following is a PBE-GGA calculation of a relaxed Cs2UPa3O12 crystal, from the Alexandria database.

a = 8.0718 Å, b = 8.0718 Å, c = 19.8114 Å
α = 90.00°, β = 90.00°, γ = 120.00°
Space group R-3m (No. 166, hexagonal axes)
One atom of each set of equivalent atoms:
Cs 0.0000 0.0000 0.1241
U 0.0000 0.0000 0.5000
Pa 0.0000 0.5000 0.0000
O 0.0786 0.5393 0.3567
O 0.0878 0.5439 0.1069

Computed properties:
N(E_F) in states/eV per atom: 0.9612
Electronic total energy in eV per atom: -8.7192


The following is a PBE-GGA calculation of a relaxed Cd5Fe2Pd12 crystal, from the Alexandria database.

a = 14.0892 Å, b = 7.1074 Å, c = 6.9094 Å
α = 90.00°, β = 109.82°, γ = 90.00°
Space group C2/m (No. 12)
One atom of each set of equivalent atoms:
Cd 0.0000 0.0000 0.0000
Cd 0.2051 0.5000 0.7089
Cd 0.2415 0.5000 0.2740
Fe 0.0000 0.3255 0.5000
Pd 0.0297 0.5000 0.2036
Pd 0.0650 0.0000 0.6795
Pd 0.1385 0.1933 0.3775
Pd 0.1401 0.2726 0.9620

Computed properties:
N(E_F) in states/eV per atom: 0.5230
Energy of formation from the pure elements in eV/atom: -0.0885


The following is a PBE-GGA calculation of a relaxed TbNp4 crystal, from the Alexandria database.

a = 5.4127 Å, b = 5.4127 Å, c = 5.4127 Å
α = 90.00°, β = 90.00°, γ = 90.00°
Space group Pm-3m (No. 221)
One atom of each set of equivalent atoms:
Tb 0.0000 0.0000 0.0000
Np 0.0000 0.0000 0.5000
Np 0.5000 0.5000 0.5000

Computed properties:
N(E_F) in states/eV per atom: 4.8663
Energy of formation from the pure elements in eV/atom: 1.8207